# 1
Material: Dy2Ge3Ir5
Method: DFT, PBE
State: relaxed

Properties
- Fermi-level density of states (states/eV/cell) = 6.15

abc: 12.325 12.325 6.768
angles: 90.00 90.00 160.55
Atoms (fractional coordinates):
Dy  0.022  0.978  0.500
Dy  0.325  0.675  0.515
Dy  0.675  0.325  0.015
Dy  0.978  0.022  0.000
Ge  0.111  0.889  0.231
Ge  0.266  0.734  0.026
Ge  0.455  0.545  0.294
Ge  0.545  0.455  0.794
Ge  0.734  0.266  0.526
Ge  0.889  0.111  0.731
Ir  0.100  0.900  0.844
Ir  0.207  0.793  0.730
Ir  0.208  0.792  0.328
Ir  0.368  0.632  0.052
Ir  0.443  0.557  0.665
Ir  0.557  0.443  0.165
Ir  0.632  0.368  0.552
Ir  0.792  0.208  0.828
Ir  0.793  0.207  0.230
Ir  0.900  0.100  0.344

# 2
Material: Dy2Ge5Ir3
Method: DFT, PBE
State: relaxed

Properties
- Fermi-level density of states (states/eV/cell) = 8.67
- energy relative to the lowest polymorph listed for this composition (meV/atom) = 0

abc: 8.388 8.388 8.388
angles: 104.20 90.74 137.88
Atoms (fractional coordinates):
Dy  0.135  0.225  0.359
Dy  0.365  0.725  0.090
Dy  0.635  0.275  0.910
Dy  0.865  0.775  0.641
Ge  0.027  0.750  0.277
Ge  0.098  0.662  0.760
Ge  0.250  0.250  0.000
Ge  0.402  0.162  0.565
Ge  0.473  0.750  0.723
Ge  0.527  0.250  0.277
Ge  0.598  0.838  0.435
Ge  0.750  0.750  0.000
Ge  0.902  0.338  0.240
Ge  0.973  0.250  0.723
Ir  0.142  0.888  0.031
Ir  0.250  0.750  0.500
Ir  0.358  0.388  0.746
Ir  0.642  0.612  0.254
Ir  0.750  0.250  0.500
Ir  0.858  0.112  0.969

# 3
Material: DyGeIr
Method: DFT, PBE
State: relaxed

Properties
- Fermi-level density of states (states/eV/cell) = 1.73

abc: 4.336 4.336 3.647
angles: 90.00 90.00 120.00
Atoms (fractional coordinates):
Dy  0.000  0.000  0.000
Ge  0.333  0.667  0.500
Ir  0.667  0.333  0.500

# 4
Material: Dy3Ge4Ir2
Method: DFT, PBE
State: relaxed

Properties
- Fermi-level density of states (states/eV/cell) = 1.95
- energy relative to the lowest polymorph listed for this composition (meV/atom) = 30

abc: 5.737 5.737 8.162
angles: 108.04 108.04 45.85
Atoms (fractional coordinates):
Dy  0.000  0.000  0.000
Dy  0.320  0.320  0.356
Dy  0.680  0.680  0.644
Ge  0.047  0.047  0.380
Ge  0.312  0.312  0.973
Ge  0.688  0.688  0.027
Ge  0.953  0.953  0.620
Ir  0.432  0.432  0.748
Ir  0.568  0.568  0.252

# 5
Material: DyGe4Ir2
Method: DFT, PBE
State: relaxed

Properties
- Fermi-level density of states (states/eV/cell) = 7.78

abc: 17.204 4.214 6.783
angles: 90.00 90.00 90.00
Atoms (fractional coordinates):
Dy  0.142  0.250  0.006
Dy  0.358  0.750  0.506
Dy  0.642  0.250  0.494
Dy  0.858  0.750  0.994
Ge  0.035  0.750  0.868
Ge  0.065  0.250  0.469
Ge  0.181  0.750  0.308
Ge  0.192  0.750  0.729
Ge  0.308  0.250  0.229
Ge  0.319  0.250  0.808
Ge  0.435  0.750  0.969
Ge  0.465  0.250  0.368
Ge  0.535  0.750  0.632
Ge  0.565  0.250  0.031
Ge  0.681  0.750  0.192
Ge  0.692  0.750  0.771
Ge  0.808  0.250  0.271
Ge  0.819  0.250  0.692
Ge  0.935  0.750  0.531
Ge  0.965  0.250  0.132
Ir  0.032  0.750  0.249
Ir  0.212  0.250  0.523
Ir  0.288  0.750  0.023
Ir  0.468  0.250  0.749
Ir  0.532  0.750  0.251
Ir  0.712  0.250  0.977
Ir  0.788  0.750  0.477
Ir  0.968  0.250  0.751

# 6
Material: DyGeIr
Method: DFT, PBE
State: relaxed

Properties
- Fermi-level density of states (states/eV/cell) = 4.76

abc: 6.896 4.335 7.600
angles: 90.00 90.00 90.00
Atoms (fractional coordinates):
Dy  0.002  0.250  0.193
Dy  0.498  0.750  0.693
Dy  0.502  0.250  0.307
Dy  0.998  0.750  0.807
Ge  0.207  0.750  0.391
Ge  0.293  0.250  0.891
Ge  0.707  0.750  0.109
Ge  0.793  0.250  0.609
Ir  0.162  0.250  0.566
Ir  0.338  0.750  0.066
Ir  0.662  0.250  0.934
Ir  0.838  0.750  0.434

# 7
Material: DyGe2Ir4
Method: DFT, PBE
State: relaxed

Properties
- Fermi-level density of states (states/eV/cell) = 4.67
- energy relative to the lowest polymorph listed for this composition (meV/atom) = 106

abc: 7.345 7.345 4.064
angles: 90.00 90.00 147.47
Atoms (fractional coordinates):
Dy  0.000  0.000  0.000
Ge  0.413  0.587  0.500
Ge  0.587  0.413  0.500
Ir  0.180  0.820  0.500
Ir  0.317  0.683  0.000
Ir  0.683  0.317  0.000
Ir  0.820  0.180  0.500

# 8
Material: Dy7Ge2Ir2
Method: DFT, PBE
State: relaxed

Properties
- Fermi-level density of states (states/eV/cell) = 4.35

abc: 6.726 6.726 6.951
angles: 90.00 90.00 99.84
Atoms (fractional coordinates):
Dy  0.000  0.000  0.000
Dy  0.000  0.500  0.251
Dy  0.000  0.500  0.749
Dy  0.500  0.000  0.251
Dy  0.500  0.000  0.749
Dy  0.500  0.500  0.242
Dy  0.500  0.500  0.758
Ge  0.224  0.224  0.500
Ge  0.776  0.776  0.500
Ir  0.278  0.722  0.000
Ir  0.722  0.278  0.000

# 9
Material: Dy2GeIr
Method: DFT, PBE
State: relaxed

Properties
- Fermi-level density of states (states/eV/cell) = 2.34

abc: 7.660 7.660 7.660
angles: 29.65 29.65 29.65
Atoms (fractional coordinates):
Dy  0.242  0.242  0.242
Dy  0.758  0.758  0.758
Ge  0.000  0.000  0.000
Ir  0.500  0.500  0.500

# 10
Material: DyGe3Ir
Method: DFT, PBE
State: relaxed

Properties
- Fermi-level density of states (states/eV/cell) = 3.97

abc: 6.043 5.621 5.823
angles: 90.00 90.00 90.00
Atoms (fractional coordinates):
Dy  0.000  0.144  0.000
Dy  0.500  0.856  0.500
Ge  0.000  0.901  0.570
Ge  0.237  0.317  0.452
Ge  0.263  0.683  0.952
Ge  0.500  0.099  0.070
Ge  0.737  0.683  0.952
Ge  0.763  0.317  0.452
Ir  0.000  0.619  0.262
Ir  0.500  0.381  0.762

# 11
Material: Dy2Ge3Ir
Method: DFT, PBE
State: relaxed

Properties
- Fermi-level density of states (states/eV/cell) = 3.27

abc: 5.643 5.643 6.924
angles: 126.42 126.42 45.66
Atoms (fractional coordinates):
Dy  0.000  0.000  0.000
Dy  0.112  0.112  0.604
Ge  0.377  0.377  0.197
Ge  0.432  0.432  0.656
Ge  0.729  0.729  0.403
Ir  0.733  0.733  0.036

# 12
Material: La2DyGe4Ir3
Method: DFT, PBE
State: relaxed

Properties
- Fermi-level density of states (states/eV/cell) = 4.85

abc: 4.329 4.329 11.120
angles: 90.00 90.00 90.00
Atoms (fractional coordinates):
La  0.000  0.500  0.229
La  0.500  0.000  0.771
Dy  0.000  0.000  0.500
Ge  0.000  0.000  0.000
Ge  0.000  0.500  0.664
Ge  0.500  0.000  0.336
Ge  0.500  0.500  0.000
Ir  0.000  0.500  0.885
Ir  0.500  0.000  0.115
Ir  0.500  0.500  0.500

# 13
Material: LaDyGeIr
Method: DFT, PBE
State: relaxed

Properties
- Fermi-level density of states (states/eV/cell) = 5.87

abc: 4.601 4.601 10.123
angles: 90.00 90.00 90.00
Atoms (fractional coordinates):
La  0.250  0.250  0.186
La  0.750  0.750  0.814
Dy  0.250  0.750  0.500
Dy  0.750  0.250  0.500
Ge  0.250  0.250  0.897
Ge  0.750  0.750  0.103
Ir  0.250  0.250  0.662
Ir  0.750  0.750  0.338

# 14
Material: DyLuGeIr
Method: DFT, PBE
State: relaxed

Properties
- Fermi-level density of states (states/eV/cell) = 2.96

abc: 4.906 4.906 4.906
angles: 60.00 60.00 60.00
Atoms (fractional coordinates):
Dy  0.000  0.000  0.000
Lu  0.500  0.500  0.500
Ge  0.750  0.750  0.750
Ir  0.250  0.250  0.250

# 15
Material: Dy2MgGe3Ir4
Method: DFT, PBE
State: relaxed

Properties
- Fermi-level density of states (states/eV/cell) = 5.26

abc: 4.101 4.101 10.906
angles: 90.00 90.00 90.00
Atoms (fractional coordinates):
Dy  0.000  0.500  0.238
Dy  0.500  0.000  0.762
Mg  0.000  0.000  0.500
Ge  0.000  0.500  0.872
Ge  0.500  0.000  0.128
Ge  0.500  0.500  0.500
Ir  0.000  0.000  0.000
Ir  0.000  0.500  0.648
Ir  0.500  0.000  0.352
Ir  0.500  0.500  0.000

# 16
Material: Dy2MgGe4Ir3
Method: DFT, PBE
State: relaxed

Properties
- Fermi-level density of states (states/eV/cell) = 4.12

abc: 4.208 4.208 10.549
angles: 90.00 90.00 90.00
Atoms (fractional coordinates):
Dy  0.000  0.500  0.237
Dy  0.500  0.000  0.763
Mg  0.000  0.000  0.500
Ge  0.000  0.000  0.000
Ge  0.000  0.500  0.646
Ge  0.500  0.000  0.354
Ge  0.500  0.500  0.000
Ir  0.000  0.500  0.875
Ir  0.500  0.000  0.125
Ir  0.500  0.500  0.500

# 17
Material: Dy2MnGe3Ir4
Method: DFT, PBE
State: relaxed

Properties
- Fermi-level density of states (states/eV/cell) = 5.36

abc: 4.117 4.117 10.586
angles: 90.00 90.00 90.00
Atoms (fractional coordinates):
Dy  0.000  0.500  0.246
Dy  0.500  0.000  0.754
Mn  0.000  0.000  0.500
Ge  0.000  0.500  0.869
Ge  0.500  0.000  0.131
Ge  0.500  0.500  0.500
Ir  0.000  0.000  0.000
Ir  0.000  0.500  0.639
Ir  0.500  0.000  0.361
Ir  0.500  0.500  0.000

# 18
Material: Dy2MnGe4Ir3
Method: DFT, PBE
State: relaxed

Properties
- Fermi-level density of states (states/eV/cell) = 5.56

abc: 4.123 4.123 10.587
angles: 90.00 90.00 90.00
Atoms (fractional coordinates):
Dy  0.000  0.500  0.249
Dy  0.500  0.000  0.751
Mn  0.500  0.500  0.000
Ge  0.000  0.000  0.500
Ge  0.000  0.500  0.864
Ge  0.500  0.000  0.136
Ge  0.500  0.500  0.500
Ir  0.000  0.000  0.000
Ir  0.000  0.500  0.632
Ir  0.500  0.000  0.368

# 19
Material: DyMnGe2Ir
Method: DFT, PBE
State: relaxed

Properties
- Fermi-level density of states (states/eV/cell) = 3.08

abc: 6.066 6.066 6.066
angles: 141.05 141.05 56.26
Atoms (fractional coordinates):
Dy  0.000  0.000  0.000
Mn  0.750  0.250  0.500
Ge  0.384  0.384  0.000
Ge  0.616  0.616  0.000
Ir  0.250  0.750  0.500

# 20
Material: Dy2NbGe3Ir4
Method: DFT, PBE
State: relaxed

Properties
- Fermi-level density of states (states/eV/cell) = 5.84

abc: 4.139 4.139 10.789
angles: 90.00 90.00 90.00
Atoms (fractional coordinates):
Dy  0.000  0.500  0.235
Dy  0.500  0.000  0.765
Nb  0.000  0.000  0.500
Ge  0.000  0.500  0.870
Ge  0.500  0.000  0.130
Ge  0.500  0.500  0.500
Ir  0.000  0.000  0.000
Ir  0.000  0.500  0.644
Ir  0.500  0.000  0.356
Ir  0.500  0.500  0.000

# 21
Material: Nd2DyGe3Ir4
Method: DFT, PBE
State: relaxed

Properties
- Fermi-level density of states (states/eV/cell) = 5.53

abc: 4.205 4.205 11.256
angles: 90.00 90.00 90.00
Atoms (fractional coordinates):
Nd  0.000  0.500  0.230
Nd  0.500  0.000  0.770
Dy  0.000  0.000  0.500
Ge  0.000  0.500  0.878
Ge  0.500  0.000  0.122
Ge  0.500  0.500  0.500
Ir  0.000  0.000  0.000
Ir  0.000  0.500  0.659
Ir  0.500  0.000  0.341
Ir  0.500  0.500  0.000

# 22
Material: Dy2Ni4Ge3Ir
Method: DFT, PBE
State: relaxed

Properties
- Fermi-level density of states (states/eV/cell) = 9.62

abc: 3.990 3.990 10.118
angles: 90.00 90.00 90.00
Atoms (fractional coordinates):
Dy  0.000  0.500  0.250
Dy  0.500  0.000  0.750
Ni  0.000  0.000  0.000
Ni  0.000  0.500  0.642
Ni  0.500  0.000  0.358
Ni  0.500  0.500  0.000
Ge  0.000  0.500  0.872
Ge  0.500  0.000  0.128
Ge  0.500  0.500  0.500
Ir  0.000  0.000  0.500

| no. | ΔH_f (0 K) (eV/atom) |
| --- | --- |
| 1 | -0.6034 |
| 2 | -0.7136 |
| 3 | -0.8163 |
| 4 | -0.8026 |
| 5 | -0.5866 |
| 6 | -0.9321 |
| 7 | -0.4278 |
| 8 | -0.5263 |
| 9 | -0.5578 |
| 10 | -0.5533 |
| 11 | -0.7493 |
| 12 | -0.7731 |
| 13 | -0.5886 |
| 14 | -0.7194 |
| 15 | -0.7260 |
| 16 | -0.6701 |
| 17 | -0.6941 |
| 18 | -0.6630 |
| 19 | -0.6201 |
| 20 | -0.7490 |
| 21 | -0.7848 |
| 22 | -0.5952 |